(1)
The following is a PBEsol calculation of crystalline In2TePb at its relaxed geometry, from the Alexandria database.

Results
- relative energy among the computed polymorphs (meV/atom) = 19.1
- formation energy (no corrections) (eV per atom) = -0.06

a = 4.069 Å, b = 5.287 Å, c = 6.166 Å
α = 115.39°, β = 109.26°, γ = 90.00°
Positions (direct):
In  0.007  0.007  0.015
In  0.257  0.757  0.515
Pb  0.491  0.491  0.981
Te  0.745  0.245  0.489


(2)
The following is a PBEsol calculation of crystalline NbWO2 at its relaxed geometry, from the Alexandria database.

Results
- formation energy (no corrections) (eV per atom) = -1.42

a = 2.807 Å, b = 2.807 Å, c = 7.104 Å
α = 78.60°, β = 78.60°, γ = 60.00°
Positions (direct):
Nb  0.500  0.500  0.500
O  0.903  0.903  0.292
O  0.097  0.097  0.708
W  0.000  0.000  0.000


(3)
The following is a PBEsol calculation of crystalline TaTiP2 at its relaxed geometry, from the Alexandria database.

Results
- energy of formation (eV per formula unit) = -0.63

a = 5.507 Å, b = 5.507 Å, c = 6.731 Å
α = 114.14°, β = 114.14°, γ = 90.00°
Positions (direct):
P  0.377  0.875  0.250
P  0.873  0.375  0.250
P  0.125  0.127  0.750
P  0.625  0.623  0.750
Ti  0.750  0.250  0.500
Ti  0.500  0.500  0.000
Ta  0.250  0.750  0.500
Ta  0.000  0.000  0.000


(4)
The following is a PBEsol calculation of crystalline LiMgIr2 at its relaxed geometry, from the Alexandria database.

Results
- energy of formation (eV per formula unit) = -0.71

a = 2.845 Å, b = 4.543 Å, c = 5.064 Å
α = 116.65°, β = 106.32°, γ = 90.00°
Positions (direct):
Mg  0.500  0.000  0.000
Ir  0.745  0.745  0.489
Ir  0.255  0.255  0.511
Li  0.000  0.500  0.000


Copy entry 3 word for word.
The following is a PBEsol calculation of crystalline TaTiP2 at its relaxed geometry, from the Alexandria database.

Results
- energy of formation (eV per formula unit) = -0.63

a = 5.507 Å, b = 5.507 Å, c = 6.731 Å
α = 114.14°, β = 114.14°, γ = 90.00°
Positions (direct):
P  0.377  0.875  0.250
P  0.873  0.375  0.250
P  0.125  0.127  0.750
P  0.625  0.623  0.750
Ti  0.750  0.250  0.500
Ti  0.500  0.500  0.000
Ta  0.250  0.750  0.500
Ta  0.000  0.000  0.000


What did the first record say?
The following is a PBEsol calculation of crystalline In2TePb at its relaxed geometry, from the Alexandria database.

Results
- relative energy among the computed polymorphs (meV/atom) = 19.1
- formation energy (no corrections) (eV per atom) = -0.06

a = 4.069 Å, b = 5.287 Å, c = 6.166 Å
α = 115.39°, β = 109.26°, γ = 90.00°
Positions (direct):
In  0.007  0.007  0.015
In  0.257  0.757  0.515
Pb  0.491  0.491  0.981
Te  0.745  0.245  0.489